Entry 1:
Below is an optimized crystal structure of Ac3Tl2Pd4, with properties calculated at the PBE level.

Computed properties:
V	26.39	Å³ per atom
symmetry	C2/m, No. 12
relative energy among the computed polymorphs	28	kJ/mol of formula units

Lattice parameters (Å, degrees): 4.710 5.881 9.389 94.37 90.00 113.60
Positions (direct):
Ac 0.372 0.745 0.618
Ac 0.000 0.000 0.000
Ac 0.628 0.255 0.382
Tl 0.326 0.651 0.219
Tl 0.674 0.349 0.781
Pd 0.720 0.440 0.084
Pd 0.079 0.157 0.626
Pd 0.921 0.843 0.374
Pd 0.280 0.560 0.916

=====

Entry 2:
Below is an optimized crystal structure of Ac3Tl3Pd8, with properties calculated at the PBE level.

Computed properties:
V	22.90	Å³ per atom
symmetry	Immm, No. 71

Lattice parameters (Å, degrees): 4.712 8.871 8.871 65.69 74.60 74.60
Positions (direct):
Ac 0.500 0.500 0.500
Ac 0.791 0.209 0.209
Ac 0.209 0.791 0.791
Tl 0.500 0.000 0.000
Tl 0.000 0.770 0.230
Tl 0.000 0.230 0.770
Pd 0.628 0.092 0.651
Pd 0.372 0.908 0.349
Pd 0.628 0.651 0.092
Pd 0.372 0.349 0.908
Pd 0.822 0.823 0.534
Pd 0.178 0.177 0.466
Pd 0.822 0.534 0.823
Pd 0.178 0.466 0.177

=====

Entry 3:
Below is an optimized crystal structure of AcTl2Pd, with properties calculated at the PBE level.

Computed properties:
V	27.96	Å³ per atom
symmetry	R-3m, No. 166
relative energy among the computed polymorphs	37	kJ/mol of formula units

Lattice parameters (Å, degrees): 4.779 4.779 6.290 67.67 67.67 60.00
Positions (direct):
Ac 0.500 0.500 0.500
Tl 0.719 0.719 0.842
Tl 0.281 0.281 0.158
Pd 0.000 0.000 0.000

=====

Entry 4:
Below is an optimized crystal structure of Ac2TlPd3, with properties calculated at the PBE level.

Computed properties:
V	26.44	Å³ per atom
symmetry	Fmmm, No. 69
relative energy among the computed polymorphs	29	kJ/mol of formula units

Lattice parameters (Å, degrees): 6.354 6.354 8.964 107.15 107.15 99.68
Positions (direct):
Ac 0.250 0.750 0.500
Ac 0.761 0.761 0.000
Ac 0.750 0.250 0.500
Ac 0.239 0.239 0.000
Tl 0.668 0.668 0.335
Tl 0.332 0.332 0.665
Pd 0.337 0.833 0.170
Pd 0.167 0.663 0.830
Pd 0.663 0.167 0.830
Pd 0.833 0.337 0.170
Pd 0.160 0.160 0.319
Pd 0.840 0.840 0.681

=====

Entry 5:
Below is an optimized crystal structure of Ac4Tl2Pd, with properties calculated at the PBE level.

Computed properties:
V	36.44	Å³ per atom
symmetry	C2/m, No. 12
relative energy among the computed polymorphs	0	kJ/mol of formula units

Lattice parameters (Å, degrees): 5.029 6.896 8.428 73.93 72.64 68.62
Positions (direct):
Ac 0.079 0.209 0.634
Ac 0.921 0.791 0.366
Ac 0.329 0.271 0.070
Ac 0.671 0.729 0.930
Tl 0.359 0.620 0.662
Tl 0.641 0.380 0.338
Pd 0.000 0.000 0.000

=====

Entry 6:
Below is an optimized crystal structure of Ac2TlPd9, with properties calculated at the PBE level.

Computed properties:
V	20.06	Å³ per atom
symmetry	R-3m, No. 166
relative energy among the computed polymorphs	87	kJ/mol of formula units

Lattice parameters (Å, degrees): 5.513 5.513 9.684 73.46 73.46 60.00
Positions (direct):
Ac 0.866 0.866 0.401
Ac 0.134 0.134 0.599
Tl 0.000 0.000 0.000
Pd 0.667 0.667 0.999
Pd 0.333 0.333 0.001
Pd 0.500 0.500 0.500
Pd 0.415 0.415 0.251
Pd 0.919 0.415 0.251
Pd 0.415 0.919 0.251
Pd 0.585 0.585 0.749
Pd 0.585 0.081 0.749
Pd 0.081 0.585 0.749

=====

Entry 7:
Below is an optimized crystal structure of AcTl2Pd6, with properties calculated at the PBE level.

Computed properties:
V	22.60	Å³ per atom
symmetry	P6/mmm, No. 191

Lattice parameters (Å, degrees): 5.668 5.668 7.311 90.00 90.00 120.00
Positions (direct):
Ac 0.000 0.000 0.000
Tl 0.333 0.667 0.500
Tl 0.667 0.333 0.500
Pd 0.500 0.000 0.188
Pd 0.500 0.500 0.188
Pd 0.000 0.500 0.188
Pd 0.500 0.500 0.812
Pd 0.000 0.500 0.812
Pd 0.500 0.000 0.812

=====

Entry 8:
Below is an optimized crystal structure of Ac2Tl3Pd, with properties calculated at the PBE level.

Computed properties:
V	30.33	Å³ per atom
symmetry	Pmm2, No. 25

Lattice parameters (Å, degrees): 4.031 5.120 8.817 90.00 90.00 90.00
Positions (direct):
Ac 0.000 0.500 0.033
Ac 0.000 0.000 0.482
Tl 0.500 0.000 0.833
Tl 0.500 0.000 0.177
Tl 0.500 0.500 0.649
Pd 0.500 0.500 0.325

=====

Entry 9:
Below is an optimized crystal structure of Ac4Tl5Pd2, with properties calculated at the PBE level.

Computed properties:
V	31.38	Å³ per atom
symmetry	P2/m, No. 10

Lattice parameters (Å, degrees): 4.079 8.279 10.252 94.53 90.00 90.00
Positions (direct):
Ac 0.500 0.773 0.569
Ac 0.500 0.188 0.851
Ac 0.500 0.227 0.431
Ac 0.500 0.812 0.149
Tl 0.000 0.548 0.327
Tl 0.000 0.164 0.143
Tl 0.000 0.500 0.000
Tl 0.000 0.836 0.857
Tl 0.000 0.452 0.673
Pd 0.000 0.072 0.634
Pd 0.000 0.928 0.366

=====

Entry 10:
Below is an optimized crystal structure of Ac2Tl3Pd5, with properties calculated at the PBE level.

Computed properties:
V	23.85	Å³ per atom
symmetry	Ibam, No. 72

Lattice parameters (Å, degrees): 6.151 9.417 9.417 73.18 70.94 70.94
Positions (direct):
Ac 0.126 0.614 0.134
Ac 0.626 0.134 0.614
Ac 0.874 0.386 0.866
Ac 0.374 0.866 0.386
Tl 0.350 0.563 0.737
Tl 0.850 0.737 0.563
Tl 0.650 0.437 0.263
Tl 0.150 0.263 0.437
Tl 0.250 0.000 0.000
Tl 0.750 0.000 0.000
Pd 0.392 0.285 0.931
Pd 0.892 0.931 0.285
Pd 0.608 0.715 0.069
Pd 0.108 0.069 0.715
Pd 0.450 0.800 0.800
Pd 0.550 0.200 0.200
Pd 0.750 0.500 0.500
Pd 0.250 0.500 0.500
Pd 0.050 0.200 0.200
Pd 0.950 0.800 0.800

=====

Entry 11:
Below is an optimized crystal structure of Ac6Tl2Pd, with properties calculated at the PBE level.

Computed properties:
V	36.66	Å³ per atom
symmetry	P-62m, No. 189
relative energy among the computed polymorphs	0	kJ/mol of formula units

Lattice parameters (Å, degrees): 4.175 9.554 9.554 120.00 90.00 90.00
Positions (direct):
Ac 0.500 0.593 0.000
Ac 0.500 0.407 0.407
Ac 0.500 0.000 0.593
Ac 0.000 0.242 0.000
Ac 0.000 0.758 0.758
Ac 0.000 0.000 0.242
Tl 0.000 0.333 0.667
Tl 0.000 0.667 0.333
Pd 0.500 0.000 0.000

=====

Entry 12:
Below is an optimized crystal structure of Ac4Tl2Pd, with properties calculated at the PBE level.

Computed properties:
V	37.45	Å³ per atom
symmetry	C2/m, No. 12
relative energy among the computed polymorphs	44	kJ/mol of formula units

Lattice parameters (Å, degrees): 4.183 7.199 9.716 112.87 102.43 90.00
Positions (direct):
Ac 0.910 0.253 0.820
Ac 0.090 0.747 0.180
Ac 0.620 0.277 0.239
Ac 0.380 0.723 0.761
Tl 0.743 0.806 0.486
Tl 0.257 0.194 0.514
Pd 0.000 0.000 0.000

=====

Entry 13:
Below is an optimized crystal structure of Ac6Tl3Pd, with properties calculated at the PBE level.

Computed properties:
V	38.85	Å³ per atom
symmetry	P2_1/c, No. 14

Lattice parameters (Å, degrees): 7.234 9.475 11.358 90.00 86.49 90.00
Positions (direct):
Ac 0.645 0.160 0.940
Ac 0.620 0.194 0.569
Ac 0.658 0.439 0.262
Ac 0.342 0.561 0.738
Ac 0.380 0.806 0.431
Ac 0.355 0.840 0.060
Ac 0.145 0.340 0.440
Ac 0.120 0.306 0.069
Ac 0.158 0.061 0.762
Ac 0.842 0.939 0.238
Ac 0.880 0.694 0.931
Ac 0.855 0.660 0.560
Tl 0.582 0.887 0.737
Tl 0.500 0.500 0.000
Tl 0.418 0.113 0.263
Tl 0.082 0.613 0.237
Tl 0.000 0.000 0.500
Tl 0.918 0.387 0.763
Pd 0.500 0.500 0.500
Pd 0.000 0.000 0.000

=====

Entry 14:
Below is an optimized crystal structure of Ac5TlPd2, with properties calculated at the PBE level.

Computed properties:
V	33.76	Å³ per atom
symmetry	I4/mcm, No. 140

Lattice parameters (Å, degrees): 8.554 8.559 9.542 116.65 116.63 90.00
Positions (direct):
Ac 0.520 0.701 0.721
Ac 0.799 0.980 0.279
Ac 0.000 0.000 0.000
Ac 0.500 0.500 0.000
Ac 0.201 0.020 0.721
Ac 0.701 0.201 0.721
Ac 0.020 0.520 0.721
Ac 0.299 0.799 0.279
Ac 0.980 0.480 0.279
Ac 0.480 0.299 0.279
Tl 0.750 0.750 0.500
Tl 0.250 0.250 0.500
Pd 0.133 0.367 0.000
Pd 0.633 0.133 0.000
Pd 0.367 0.867 0.000
Pd 0.867 0.633 0.000

=====

Entry 15:
Below is an optimized crystal structure of Ac2Tl3Pd2, with properties calculated at the PBE level.

Computed properties:
V	28.03	Å³ per atom
symmetry	C2/m, No. 12
relative energy among the computed polymorphs	12	kJ/mol of formula units

Lattice parameters (Å, degrees): 4.331 6.070 8.042 96.20 90.00 110.90
Positions (direct):
Ac 0.620 0.240 0.344
Ac 0.380 0.760 0.656
Tl 0.310 0.621 0.144
Tl 0.000 0.000 0.000
Tl 0.690 0.379 0.856
Pd 0.094 0.188 0.630
Pd 0.906 0.812 0.370

=====

Entry 16:
Below is an optimized crystal structure of Ac5Tl4Pd, with properties calculated at the PBE level.

Computed properties:
V	33.53	Å³ per atom
symmetry	P4/mmm, No. 123

Lattice parameters (Å, degrees): 3.904 3.904 21.996 90.00 90.00 90.00
Positions (direct):
Ac 0.500 0.500 0.083
Ac 0.500 0.500 0.290
Ac 0.500 0.500 0.500
Ac 0.500 0.500 0.710
Ac 0.500 0.500 0.917
Tl 0.000 0.000 0.188
Tl 0.000 0.000 0.396
Tl 0.000 0.000 0.604
Tl 0.000 0.000 0.812
Pd 0.000 0.000 0.000

=====

Entry 17:
Below is an optimized crystal structure of AcTl2Pd, with properties calculated at the PBE level.

Computed properties:
V	27.08	Å³ per atom
symmetry	Cmcm, No. 63
relative energy among the computed polymorphs	0	kJ/mol of formula units

Lattice parameters (Å, degrees): 4.573 6.045 8.465 90.00 90.00 112.23
Positions (direct):
Ac 0.931 0.862 0.250
Ac 0.069 0.138 0.750
Tl 0.356 0.712 0.550
Tl 0.644 0.288 0.450
Tl 0.644 0.288 0.050
Tl 0.356 0.712 0.950
Pd 0.218 0.436 0.250
Pd 0.782 0.564 0.750

=====

Entry 18:
Below is an optimized crystal structure of Ac5Tl2Pd2, with properties calculated at the PBE level.

Computed properties:
V	34.33	Å³ per atom
symmetry	Cmce, No. 64

Lattice parameters (Å, degrees): 9.190 7.919 9.369 115.00 90.00 90.00
Positions (direct):
Ac 0.000 0.000 0.000
Ac 0.500 0.500 0.000
Ac 0.824 0.784 0.249
Ac 0.176 0.465 0.249
Ac 0.324 0.965 0.249
Ac 0.676 0.284 0.249
Ac 0.176 0.216 0.751
Ac 0.824 0.535 0.751
Ac 0.676 0.035 0.751
Ac 0.324 0.716 0.751
Tl 0.000 0.213 0.426
Tl 0.500 0.713 0.426
Tl 0.000 0.787 0.574
Tl 0.500 0.287 0.574
Pd 0.616 0.869 0.000
Pd 0.384 0.131 0.000
Pd 0.116 0.631 0.000
Pd 0.884 0.369 0.000

=====

Entry 19:
Below is an optimized crystal structure of Ac2TlPd4, with properties calculated at the PBE level.

Computed properties:
V	28.25	Å³ per atom
symmetry	I4/mmm, No. 139

Lattice parameters (Å, degrees): 5.089 5.089 8.441 107.54 107.54 90.00
Positions (direct):
Ac 0.637 0.637 0.274
Ac 0.363 0.363 0.726
Tl 0.000 0.000 0.000
Pd 0.822 0.822 0.643
Pd 0.178 0.178 0.357
Pd 0.000 0.500 0.000
Pd 0.500 0.000 0.000

=====

Entry 20:
Below is an optimized crystal structure of AcTl2Pd, with properties calculated at the PBE level.

Computed properties:
V	27.83	Å³ per atom
symmetry	P4/mmm, No. 123
relative energy among the computed polymorphs	51	kJ/mol of formula units

Lattice parameters (Å, degrees): 5.421 4.532 4.532 90.00 90.00 90.00
Positions (direct):
Ac 0.500 0.500 0.500
Tl 0.000 0.000 0.500
Tl 0.000 0.500 0.000
Pd 0.500 0.000 0.000

=====

Entry 21:
Below is an optimized crystal structure of Ac3TlPd8, with properties calculated at the PBE level.

Computed properties:
V	21.14	Å³ per atom
symmetry	R3m, No. 160

Lattice parameters (Å, degrees): 5.645 5.645 9.755 73.18 73.18 60.00
Positions (direct):
Ac 0.378 0.378 0.865
Ac 0.989 0.989 0.032
Ac 0.508 0.508 0.475
Tl 0.865 0.865 0.405
Pd 0.943 0.438 0.182
Pd 0.435 0.939 0.687
Pd 0.438 0.438 0.182
Pd 0.939 0.939 0.687
Pd 0.189 0.189 0.433
Pd 0.689 0.689 0.934
Pd 0.438 0.943 0.182
Pd 0.939 0.435 0.687

=====

Entry 22:
Below is an optimized crystal structure of Ac4Tl3Pd, with properties calculated at the PBE level.

Computed properties:
V	33.10	Å³ per atom
symmetry	P4/mmm, No. 123

Lattice parameters (Å, degrees): 3.893 3.893 17.475 90.00 90.00 90.00
Positions (direct):
Ac 0.000 0.000 0.895
Ac 0.000 0.000 0.105
Ac 0.000 0.000 0.367
Ac 0.000 0.000 0.633
Tl 0.500 0.500 0.238
Tl 0.500 0.500 0.500
Tl 0.500 0.500 0.762
Pd 0.500 0.500 0.000

=====

no.,E_tot (eV/atom)
1,-4.836
2,-4.880
3,-3.866
4,-4.998
5,-4.169
6,-5.249
7,-4.801
8,-3.853
9,-4.002
10,-4.617
11,-4.185
12,-4.104
13,-3.991
14,-4.657
15,-4.178
16,-3.958
17,-3.961
18,-4.431
19,-4.740
20,-3.830
21,-5.379
22,-4.036